Entry 1:
The following is a DFT calculation (PBE) of an optimized crystal structure of Al2SiRu.

CIF file:
```
data_Al2SiRu
_chemical_formula_sum 'Al4 Si2 Ru2'
_cell_length_a 5.144
_cell_length_b 7.385
_cell_length_c 2.978
_cell_angle_alpha 90.00
_cell_angle_beta 90.00
_cell_angle_gamma 90.00
_space_group_name_H-M_alt 'C m m m'
_space_group_IT_number 65
_space_group_name_Hall '-C 2 2'
loop_
_atom_site_label
_atom_site_type_symbol
_atom_site_fract_x
_atom_site_fract_y
_atom_site_fract_z
Al1 Al 0.250 0.250 0.000
Si1 Si 0.000 0.000 0.500
Ru1 Ru 0.000 0.500 0.500
```

Uncorrected formation energy ... -0.287 eV/atom
Final energy ... -5.833 eV per atom
Fermi-level density of states ... 3.70 states/eV per cell

Entry 2:
The following is a DFT calculation (PBE) of an optimized crystal structure of AlSiRu4.

CIF file:
```
data_AlSiRu4
_chemical_formula_sum 'Al4 Si4 Ru16'
_cell_length_a 7.166
_cell_length_b 7.166
_cell_length_c 7.166
_cell_angle_alpha 90.00
_cell_angle_beta 90.00
_cell_angle_gamma 90.00
_space_group_name_H-M_alt 'F -4 3 m'
_space_group_IT_number 216
_space_group_name_Hall 'F -4 2 3'
loop_
_atom_site_label
_atom_site_type_symbol
_atom_site_fract_x
_atom_site_fract_y
_atom_site_fract_z
Al1 Al 0.000 0.000 0.000
Si1 Si 0.250 0.250 0.250
Ru1 Ru 0.125 0.125 0.625
```

Uncorrected formation energy ... 0.450 eV/atom
Final energy ... -7.262 eV per atom
Fermi-level density of states ... 37.99 states/eV per cell